(1)
A plane-wave DFT calculation with PBE was carried out for a geometry-optimized ScTi2AgSe structure.

abc: 4.719 4.919 4.719
angles: 90.00 90.00 90.00
Atoms (fractional coordinates):
Sc1 0.500 0.500 0.500
Se1 0.000 0.000 0.000
Ag1 0.000 0.500 0.000
Ti1 0.000 0.000 0.500
Ti2 0.500 0.000 0.000

V (Å³ per cell): 110
Density (g cm⁻³): 5.0
Total DFT energy (no corrections) (eV/f.u.): -27.77
Formation energy (no corrections) (kJ per mole of atoms): 13
Space-group type: P4/mmm (123)

---

(2)
A plane-wave DFT calculation with PBE was carried out for a geometry-optimized ScTiAgSe2 structure.

abc: 4.850 5.026 4.850
angles: 90.00 90.00 90.00
Atoms (fractional coordinates):
Sc1 0.500 0.500 0.500
Se1 0.000 0.000 0.500
Se2 0.500 0.000 0.000
Ag1 0.000 0.500 0.000
Ti1 0.000 0.000 0.000

V (Å³ per cell): 118
Density (g cm⁻³): 5.0
Total DFT energy (no corrections) (eV/f.u.): -25.28
Formation energy (no corrections) (kJ per mole of atoms): -24
Space-group type: P4/mmm (123)

---

(3)
A plane-wave DFT calculation with PBE was carried out for a geometry-optimized ScTi2Ag2Se6 structure.

abc: 6.480 6.480 7.057
angles: 93.19 93.19 119.89
Atoms (fractional coordinates):
Sc1 0.000 0.000 0.500
Ti1 0.345 0.655 0.500
Ti2 0.655 0.345 0.500
Ag1 0.872 0.128 0.000
Ag2 0.128 0.872 0.000
Se1 0.682 0.682 0.725
Se2 0.025 0.379 0.710
Se3 0.318 0.318 0.275
Se4 0.379 0.025 0.710
Se5 0.975 0.621 0.290
Se6 0.621 0.975 0.290

V (Å³ per cell): 255
Density (g cm⁻³): 5.4
Total DFT energy (no corrections) (eV/f.u.): -58.85
Formation energy (no corrections) (kJ per mole of atoms): -89
Space-group type: C2/m (12)

---

(4)
A plane-wave DFT calculation with PBE was carried out for a geometry-optimized Sc2TlAgSe4 structure.

abc: 3.980 7.110 14.579
angles: 90.00 90.00 106.25
Atoms (fractional coordinates):
Sc1 0.374 0.749 0.571
Sc2 0.626 0.251 0.071
Sc3 0.626 0.251 0.429
Sc4 0.374 0.749 0.929
Tl1 0.128 0.257 0.750
Tl2 0.872 0.743 0.250
Ag1 0.827 0.654 0.750
Ag2 0.173 0.346 0.250
Se1 0.260 0.519 0.093
Se2 0.740 0.481 0.593
Se3 0.740 0.481 0.907
Se4 0.260 0.519 0.407
Se5 0.000 0.000 0.500
Se6 0.000 0.000 0.000
Se7 0.451 0.901 0.750
Se8 0.549 0.099 0.250

V (Å³ per cell): 396
Density (g cm⁻³): 6.0
Total DFT energy (no corrections) (eV/f.u.): -40.56
Formation energy (no corrections) (kJ per mole of atoms): -105
Space-group type: Cmcm (63)

---

(5)
A plane-wave DFT calculation with PBE was carried out for a geometry-optimized Sc2Tl3AgSe6 structure.

abc: 7.027 7.027 7.608
angles: 98.60 98.60 120.03
Atoms (fractional coordinates):
Sc1 0.332 0.668 0.000
Sc2 0.668 0.332 0.000
Tl1 0.169 0.831 0.500
Tl2 0.831 0.169 0.500
Tl3 0.500 0.500 0.500
Ag1 0.000 0.000 0.000
Se1 0.932 0.588 0.796
Se2 0.722 0.722 0.206
Se3 0.068 0.412 0.204
Se4 0.588 0.932 0.796
Se5 0.278 0.278 0.794
Se6 0.412 0.068 0.204

V (Å³ per cell): 310
Density (g cm⁻³): 6.9
Total DFT energy (no corrections) (eV/f.u.): -53.61
Formation energy (no corrections) (kJ per mole of atoms): -81
Space-group type: C2/m (12)

---

(6)
A plane-wave DFT calculation with PBE was carried out for a geometry-optimized Tm3ScAg4Se8 structure.

abc: 8.161 8.082 8.161
angles: 120.61 120.00 90.00
Atoms (fractional coordinates):
Tm1 0.500 0.500 0.000
Tm2 0.500 0.500 0.500
Tm3 0.000 0.500 0.500
Sc1 0.000 0.500 0.000
Ag1 0.500 0.000 0.000
Ag2 0.500 0.000 0.500
Ag3 0.000 0.000 0.000
Ag4 0.000 0.000 0.500
Se1 0.243 0.737 0.997
Se2 0.243 0.738 0.486
Se3 0.252 0.258 0.504
Se4 0.754 0.737 0.997
Se5 0.246 0.263 0.003
Se6 0.748 0.742 0.496
Se7 0.757 0.262 0.514
Se8 0.757 0.263 0.003

V (Å³ per cell): 377
Density (g cm⁻³): 7.1
Total DFT energy (no corrections) (eV/f.u.): -76.98
Formation energy (no corrections) (kJ per mole of atoms): -108
Space-group type: C2/m (12)

---

no.,M_tot (μB per cell)
1,0.0
2,0.0
3,0.9
4,0.0
5,0.0
6,0.0